1.
## OsPb3C (PBE)

Data for OsPb3C after structural relaxation.

VASP energy in eV per atom: -4.653
Magnetic moment in μB per cell: 0.87
Space group: Pm-3m (221)
Offset from the most stable computed form in meV per atom: 43
Energy of formation from the pure elements in meV/atom: 1662

Lattice parameters (Å, degrees): 4.840 4.840 4.840 90.00 90.00 90.00
Fractional coordinates of all 5 atoms:
Os (0.500, 0.500, 0.500)
C (0.000, 0.000, 0.000)
Pb (0.000, 0.000, 0.500)
Pb (0.000, 0.500, 0.000)
Pb (0.500, 0.000, 0.000)


2.
## ScNi2Te (PBE)

Data for ScNi2Te after structural relaxation.

VASP energy in eV per atom: -5.589
Magnetic moment in μB per cell: 0.00
Formation energy without anion corrections in eV/atom: -0.33
Space group: P4/mmm (123)

Lattice parameters (Å, degrees): 3.428 3.428 5.654 90.00 90.00 90.00
Fractional coordinates of all 4 atoms:
Ni (0.000, 0.000, 0.485)
Sc (0.500, 0.500, 0.250)
Ni (0.000, 0.000, 0.015)
Te (0.500, 0.500, 0.750)


3.
## DyBe2SiRu (PBE)

Data for DyBe2SiRu after structural relaxation.

VASP energy in eV per atom: -5.760
Magnetic moment in μB per cell: 0.00
Formation energy without anion corrections in eV/atom: -0.41
Space group: Imm2 (44)

Lattice parameters (Å, degrees): 3.708 3.849 5.795 109.40 108.66 90.00
Fractional coordinates of all 5 atoms:
Be (0.062, 0.062, 0.124)
Ru (0.183, 0.683, 0.366)
Si (0.827, 0.827, 0.654)
Be (0.695, 0.195, 0.389)
Dy (0.446, 0.446, 0.892)


4.
## FeSi2Ir (PBE)

Data for FeSi2Ir after structural relaxation.

VASP energy in eV per atom: -7.405
Magnetic moment in μB per cell: 1.51
Formation energy without anion corrections in eV/atom: -0.36
Space group: P4mm (99)

Lattice parameters (Å, degrees): 3.119 3.119 5.268 90.00 90.00 90.00
Fractional coordinates of all 4 atoms:
Si (0.500, 0.500, 0.281)
Fe (0.000, 0.000, 0.434)
Si (0.000, 0.000, 0.996)
Ir (0.500, 0.500, 0.789)


5.
## InGa2Cu (PBE)

Data for InGa2Cu after structural relaxation.

VASP energy in eV per atom: -3.125
Magnetic moment in μB per cell: 0.00
Space group: I-42d (122)
Energy of formation from the pure elements in meV/atom: 97

Lattice parameters (Å, degrees): 4.283 4.283 9.135 76.44 76.44 90.00
Fractional coordinates of all 8 atoms:
In (0.000, 0.000, 0.000)
Ga (0.561, 0.125, 0.250)
Ga (0.189, 0.625, 0.250)
In (0.750, 0.250, 0.500)
Ga (0.375, 0.439, 0.750)
Cu (0.250, 0.750, 0.500)
Ga (0.875, 0.811, 0.750)
Cu (0.500, 0.500, 0.000)


6.
## Zn2Pd3Au (PBE)

Data for Zn2Pd3Au after structural relaxation.

VASP energy in eV per atom: -4.000
Magnetic moment in μB per cell: 0.00
Space group: P4/mmm (123)
Energy of formation from the pure elements in meV/atom: -433

Lattice parameters (Å, degrees): 2.967 2.967 10.342 90.00 90.00 90.00
Fractional coordinates of all 6 atoms:
Au (0.500, 0.500, 0.500)
Pd (0.000, 0.000, 0.311)
Pd (0.000, 0.000, 0.689)
Zn (0.500, 0.500, 0.160)
Zn (0.500, 0.500, 0.840)
Pd (0.000, 0.000, 0.000)


7.
## CrPd3Se (PBE)

Data for CrPd3Se after structural relaxation.

VASP energy in eV per atom: -4.830
Magnetic moment in μB per cell: 0.00
Formation energy without anion corrections in eV/atom: 0.91
Space group: Pm-3m (221)
Offset from the most stable computed form in meV per atom: 576

Lattice parameters (Å, degrees): 4.590 4.590 4.590 90.00 90.00 90.00
Fractional coordinates of all 5 atoms:
Pd (0.500, 0.000, 0.000)
Pd (0.000, 0.000, 0.500)
Pd (0.000, 0.500, 0.000)
Cr (0.000, 0.000, 0.000)
Se (0.500, 0.500, 0.500)


8.
## TmLu3Ru (PBE)

Data for TmLu3Ru after structural relaxation.

VASP energy in eV per atom: -5.556
Magnetic moment in μB per cell: 0.00
Space group: Pm-3m (221)
Energy of formation from the pure elements in meV/atom: -94

Lattice parameters (Å, degrees): 5.264 5.264 5.264 90.00 90.00 90.00
Fractional coordinates of all 5 atoms:
Tm (0.500, 0.500, 0.500)
Lu (0.500, 0.000, 0.000)
Lu (0.000, 0.000, 0.500)
Lu (0.000, 0.500, 0.000)
Ru (0.000, 0.000, 0.000)


9.
## Ho4SiSe3 (PBE)

Data for Ho4SiSe3 after structural relaxation.

VASP energy in eV per atom: -5.847
Magnetic moment in μB per cell: 0.00
Formation energy without anion corrections in eV/atom: -1.57
Space group: P2/c (13)

Lattice parameters (Å, degrees): 7.045 7.085 8.190 90.00 90.00 109.49
Fractional coordinates of all 16 atoms:
Ho (0.512, 0.759, 0.638)
Se (0.750, 0.500, 0.128)
Si (0.250, 0.000, 0.124)
Ho (0.499, 0.763, 0.117)
Ho (0.012, 0.759, 0.362)
Ho (0.001, 0.237, 0.117)
Se (0.250, 0.000, 0.622)
Se (0.750, 0.000, 0.378)
Ho (0.988, 0.241, 0.638)
Se (0.250, 0.500, 0.380)
Se (0.750, 0.500, 0.620)
Si (0.750, 0.000, 0.876)
Ho (0.999, 0.763, 0.883)
Ho (0.488, 0.241, 0.362)
Ho (0.501, 0.237, 0.883)
Se (0.250, 0.500, 0.872)


10.
## SrAcGdMg (PBE)

Data for SrAcGdMg after structural relaxation.

VASP energy in eV per atom: -5.200
Magnetic moment in μB per cell: 7.25
Space group: F-43m (216)
Energy of formation from the pure elements in meV/atom: 166

Lattice parameters (Å, degrees): 5.961 5.961 5.961 60.00 60.00 60.00
Fractional coordinates of all 4 atoms:
Mg (0.000, 0.000, 0.000)
Ac (0.500, 0.500, 0.500)
Gd (0.250, 0.250, 0.250)
Sr (0.750, 0.750, 0.750)


11.
## SmPtAu2 (PBE)

Data for SmPtAu2 after structural relaxation.

VASP energy in eV per atom: -4.944
Magnetic moment in μB per cell: 0.00
Space group: P4/mmm (123)
Offset from the most stable computed form in meV per atom: 151
Energy of formation from the pure elements in meV/atom: -615

Lattice parameters (Å, degrees): 4.761 4.128 4.128 90.00 90.00 90.00
Fractional coordinates of all 4 atoms:
Sm (0.500, 0.500, 0.500)
Pt (0.500, 0.000, 0.000)
Au (0.000, 0.000, 0.500)
Au (0.000, 0.500, 0.000)


12.
## Li2YCdW (PBE)

Data for Li2YCdW after structural relaxation.

VASP energy in eV per atom: -3.689
Magnetic moment in μB per cell: 2.87
Space group: P4/mmm (123)
Energy of formation from the pure elements in meV/atom: 1143

Lattice parameters (Å, degrees): 4.611 5.772 4.611 90.00 90.00 90.00
Fractional coordinates of all 5 atoms:
Li (0.000, 0.000, 0.500)
W (0.500, 0.500, 0.500)
Cd (0.000, 0.000, 0.000)
Li (0.500, 0.000, 0.000)
Y (0.000, 0.500, 0.000)


13.
## K2SbCl6 (PBE)

Data for K2SbCl6 after structural relaxation.

VASP energy in eV per atom: -3.243
Magnetic moment in μB per cell: 0.00
Formation energy without anion corrections in eV/atom: -1.31
Space group: P2_1/c (14)

Lattice parameters (Å, degrees): 7.370 7.333 11.499 90.00 90.00 105.06
Fractional coordinates of all 18 atoms:
Cl (0.732, 0.323, 0.479)
K (0.934, 0.723, 0.353)
Cl (0.268, 0.677, 0.521)
Cl (0.232, 0.823, 0.021)
Cl (0.410, 0.092, 0.700)
K (0.566, 0.777, 0.853)
Cl (0.768, 0.177, 0.979)
K (0.066, 0.277, 0.647)
Cl (0.243, 0.128, 0.406)
Sb (0.500, 0.000, 0.500)
Cl (0.910, 0.592, 0.800)
K (0.434, 0.223, 0.147)
Sb (0.000, 0.500, 0.000)
Cl (0.257, 0.372, 0.906)
Cl (0.757, 0.872, 0.594)
Cl (0.743, 0.628, 0.094)
Cl (0.090, 0.408, 0.200)
Cl (0.590, 0.908, 0.300)


14.
## SrBeRu2 (PBE)

Data for SrBeRu2 after structural relaxation.

VASP energy in eV per atom: -5.663
Magnetic moment in μB per cell: 0.00
Space group: Pm (6)
Energy of formation from the pure elements in meV/atom: 327

Lattice parameters (Å, degrees): 4.082 3.027 6.152 75.83 90.00 90.00
Fractional coordinates of all 4 atoms:
Be (0.500, 0.891, 0.840)
Sr (0.000, 0.548, 0.527)
Ru (0.500, 0.247, 0.130)
Ru (0.000, 0.813, 0.003)


15.
## LaPm7Mg4 (PBE)

Data for LaPm7Mg4 after structural relaxation.

VASP energy in eV per atom: -3.590
Magnetic moment in μB per cell: 0.33
Space group: C2/m (12)
Energy of formation from the pure elements in meV/atom: 124

Lattice parameters (Å, degrees): 5.864 9.260 8.238 68.28 69.15 71.54
Fractional coordinates of all 12 atoms:
Mg (0.325, 0.345, 0.005)
Pm (0.200, 0.123, 0.477)
Pm (0.800, 0.877, 0.523)
Mg (0.675, 0.655, 0.995)
Pm (0.500, 0.000, 0.000)
Pm (0.919, 0.427, 0.735)
La (0.000, 0.000, 0.000)
Mg (0.461, 0.696, 0.382)
Pm (0.253, 0.710, 0.783)
Pm (0.081, 0.573, 0.265)
Pm (0.747, 0.290, 0.217)
Mg (0.539, 0.304, 0.618)


16.
## Sr2PbF (PBE)

Data for Sr2PbF after structural relaxation.

VASP energy in eV per atom: -3.437
Magnetic moment in μB per cell: 1.00
Formation energy without anion corrections in eV/atom: -1.20
Space group: Fm-3m (225)
Offset from the most stable computed form in meV per atom: 388

Lattice parameters (Å, degrees): 5.596 5.596 5.596 60.00 60.00 60.00
Fractional coordinates of all 4 atoms:
Sr (0.750, 0.750, 0.750)
Sr (0.250, 0.250, 0.250)
Pb (0.500, 0.500, 0.500)
F (0.000, 0.000, 0.000)